First-principles (PBE) data for Sm2Sc2CBr5 after structural relaxation, as listed in the Open Quantum Materials Database.

POSCAR file:
```
Sm2Sc2CBr5
1.0
8.8007 -1.8701 0.0000
8.8007 1.8701 0.0000
-1.8710 0.0000 7.6967
Sm Sc C Br
2 2 1 5
Direct
0.1422 0.1422 0.0758
0.8578 0.8578 0.9242
0.5000 0.5000 0.1909
0.5000 0.5000 0.8091
0.0000 0.0000 0.0000
0.0000 0.0000 0.5000
0.3358 0.3358 0.1917
0.3426 0.3426 0.6423
0.6574 0.6574 0.3577
0.6642 0.6642 0.8083
```

Values from the calculation:
ΔE to the lowest computed polymorph = 45 meV/atom
Symmetry = C2/m
Volume = 253 Å³/cell
Spin magnetization = 0.04 μB per cell